Record 1
# TbTmBr

Crystalline TbTmBr at its relaxed geometry (PBE, the Alexandria database).

Unit cell a=5.049 b=5.051 c=15.040 alpha=90.00 beta=90.00 gamma=90.00
Positions (direct):
1 Tb 0.910 0.000 0.251
2 Tb 0.910 0.500 0.749
3 Br 0.410 0.000 0.368
4 Tb 0.410 0.000 0.749
5 Br 0.910 0.500 0.368
6 Tm 0.910 0.000 0.918
7 Tm 0.410 0.000 0.082
8 Br 0.410 0.500 0.632
9 Tm 0.910 0.500 0.082
10 Br 0.910 0.000 0.632
11 Tm 0.410 0.500 0.918
12 Tb 0.410 0.500 0.251

Output
ΔE to the lowest computed polymorph (eV/atom): 0.013
Formation energy from raw total energies (eV per formula unit): -2.14
Total energy (eV/atom): -4.30

***

Record 2
# Tb2TmBr

Crystalline Tb2TmBr at its relaxed geometry (PBE, the Alexandria database).

Unit cell a=3.634 b=3.634 c=10.452 alpha=79.99 beta=79.99 gamma=60.00
Positions (direct):
1 Br 0.000 0.000 0.000
2 Tb 0.257 0.257 0.229
3 Tm 0.500 0.500 0.500
4 Tb 0.743 0.743 0.771

Output
Formation energy from raw total energies (eV per formula unit): -2.07
Total energy (eV/atom): -4.37